This record from the Alexandria database describes a geometry-optimized ZnInHRu2 structure. The functional is PBE.

Electronic total energy = -5.010 eV/atom
SG = P4/mmm, No. 123
Total magnetization = 0.00 μB per formula unit

a = 4.1375 Å, b = 4.1375 Å, c = 3.7543 Å
α = 90.00°, β = 90.00°, γ = 90.00°
Positions (direct):
Zn: 0.0000 0.0000 0.0000
In: 0.5000 0.5000 0.0000
H: 0.0000 0.0000 0.5000
Ru: 0.0000 0.5000 0.5000
Ru: 0.5000 0.0000 0.5000

This record from the Alexandria database describes a geometry-optimized Zn2CdSe structure. The functional is PBE.

Uncorrected formation energy = 0.044 eV/atom
Electronic total energy = -1.693 eV/atom
Distance to the lowest polymorph of the same formula = 0.1414 eV per atom
SG = I4/mmm, No. 139
Total magnetization = 0.00 μB per formula unit

a = 6.5268 Å, b = 6.5268 Å, c = 6.5268 Å
α = 145.59°, β = 145.59°, γ = 49.46°
Positions (direct):
Zn: 0.2500 0.7500 0.5000
Zn: 0.7500 0.2500 0.5000
Cd: 0.0000 0.0000 0.0000
Se: 0.5000 0.5000 0.0000